Entry 1:
# FeTcTe2

A geometry-optimized FeTcTe2 structure (PBE-GGA, Alexandria).

Output
- Fermi-level density of states (states/eV per atom) = 0.937
- VASP energy (eV/atom) = -6.134
- crystal system = tetragonal
- E above lowest polymorph (meV per atom) = 158
- magnetization (μB/f.u.) = 2.651

Unit cell a=3.297 b=3.297 c=7.891 alpha=90.00 beta=90.00 gamma=90.00
Positions (direct):
Fe (0.000, 0.000, 0.525)
Tc (0.500, 0.500, 0.715)
Te (0.000, 0.000, 0.902)
Te (0.500, 0.500, 0.358)

Entry 2:
# Hf4NO

A geometry-optimized Hf4NO structure (PBE-GGA, Alexandria).

Output
- Fermi-level density of states (states/eV per atom) = 0.474
- VASP energy (eV/atom) = -10.326
- crystal system = tetragonal
- E above lowest polymorph (meV per atom) = 32
- magnetization (μB/f.u.) = 0.000

Unit cell a=6.262 b=6.262 c=6.262 alpha=105.71 beta=105.71 gamma=117.28
Positions (direct):
Hf (0.245, 0.954, 0.709)
Hf (0.755, 0.462, 0.708)
Hf (0.704, 0.495, 0.209)
Hf (0.212, 0.005, 0.208)
Hf (0.287, 0.495, 0.791)
Hf (0.797, 0.005, 0.792)
Hf (0.755, 0.047, 0.292)
Hf (0.245, 0.537, 0.291)
N (0.250, 0.250, 0.000)
N (0.000, 0.500, 0.500)
O (0.750, 0.750, 0.000)
O (0.500, 0.000, 0.500)

Entry 3:
# KPa2O6

A geometry-optimized KPa2O6 structure (PBE-GGA, Alexandria).

Output
- Fermi-level density of states (states/eV per atom) = 0.201
- VASP energy (eV/atom) = -8.582
- crystal system = tetragonal
- E above lowest polymorph (meV per atom) = 0
- magnetization (μB/f.u.) = 0.000

Unit cell a=3.801 b=3.801 c=9.628 alpha=101.38 beta=101.38 gamma=90.00
Positions (direct):
K (0.000, 0.000, 0.000)
Pa (0.329, 0.329, 0.659)
Pa (0.671, 0.671, 0.341)
O (0.890, 0.390, 0.781)
O (0.390, 0.890, 0.781)
O (0.110, 0.610, 0.219)
O (0.750, 0.250, 0.500)
O (0.250, 0.750, 0.500)
O (0.610, 0.110, 0.219)

Entry 4:
# BeTlPt2

A geometry-optimized BeTlPt2 structure (PBE-GGA, Alexandria).

Output
- Fermi-level density of states (states/eV per atom) = 0.409
- VASP energy (eV/atom) = -4.466
- crystal system = tetragonal
- E above lowest polymorph (meV per atom) = 372
- magnetization (μB/f.u.) = 0.000
- formation energy from the elements (eV per atom) = 0.08

Unit cell a=4.820 b=4.820 c=7.978 alpha=72.42 beta=72.42 gamma=90.00
Positions (direct):
Be (0.500, 0.500, 0.000)
Be (0.250, 0.750, 0.500)
Tl (0.000, 0.000, 0.000)
Tl (0.750, 0.250, 0.500)
Pt (0.482, 0.125, 0.250)
Pt (0.268, 0.625, 0.250)
Pt (0.375, 0.518, 0.750)
Pt (0.875, 0.732, 0.750)

Entry 5:
# BaHfSb3

A geometry-optimized BaHfSb3 structure (PBE-GGA, Alexandria).

Output
- Fermi-level density of states (states/eV per atom) = 1.150
- VASP energy (eV/atom) = -3.393
- crystal system = cubic
- E above lowest polymorph (meV per atom) = 1895
- magnetization (μB/f.u.) = 0.995

Unit cell a=5.954 b=5.954 c=5.954 alpha=90.00 beta=90.00 gamma=90.00
Positions (direct):
Sb (0.000, 0.500, 0.000)
Sb (0.000, 0.000, 0.500)
Sb (0.500, 0.000, 0.000)
Hf (0.500, 0.500, 0.500)
Ba (0.000, 0.000, 0.000)

Entry 6:
# LaZnTc2

A geometry-optimized LaZnTc2 structure (PBE-GGA, Alexandria).

Output
- Fermi-level density of states (states/eV per atom) = 1.434
- VASP energy (eV/atom) = -6.088
- crystal system = trigonal
- magnetization (μB/f.u.) = 0.001
- formation energy from the elements (eV per atom) = 0.65

Unit cell a=10.048 b=10.048 c=10.048 alpha=16.50 beta=16.50 gamma=16.50
Positions (direct):
La (0.250, 0.250, 0.250)
Tc (0.011, 0.011, 0.011)
Tc (0.489, 0.489, 0.489)
Zn (0.750, 0.750, 0.750)

Entry 7:
# Pm3Pr8Sc2

A geometry-optimized Pm3Pr8Sc2 structure (PBE-GGA, Alexandria).

Output
- Fermi-level density of states (states/eV per atom) = 1.739
- VASP energy (eV/atom) = -4.858
- crystal system = monoclinic
- E above lowest polymorph (meV per atom) = 0
- magnetization (μB/f.u.) = 0.000
- formation energy from the elements (eV per atom) = 0.15

Unit cell a=6.205 b=8.862 c=8.862 alpha=83.83 beta=72.65 gamma=72.65
Positions (direct):
Pm (0.500, 0.000, 0.000)
Pm (0.000, 0.246, 0.754)
Pm (0.000, 0.754, 0.246)
Pr (0.206, 0.555, 0.555)
Pr (0.794, 0.445, 0.445)
Pr (0.943, 0.154, 0.154)
Pr (0.057, 0.846, 0.846)
Pr (0.671, 0.572, 0.079)
Pr (0.671, 0.079, 0.572)
Pr (0.329, 0.921, 0.428)
Pr (0.329, 0.428, 0.921)
Sc (0.356, 0.289, 0.289)
Sc (0.644, 0.711, 0.711)

Entry 8:
# Co3Cu

A geometry-optimized Co3Cu structure (PBE-GGA, Alexandria).

Output
- Fermi-level density of states (states/eV per atom) = 1.269
- VASP energy (eV/atom) = -6.157
- crystal system = cubic
- magnetization (μB/f.u.) = 5.182
- formation energy from the elements (eV per atom) = 0.20

Unit cell a=4.502 b=4.502 c=4.502 alpha=90.00 beta=90.00 gamma=90.00
Positions (direct):
Co (0.000, 0.250, 0.500)
Co (0.000, 0.750, 0.500)
Co (0.250, 0.500, 0.000)
Co (0.500, 0.000, 0.250)
Co (0.500, 0.000, 0.750)
Co (0.750, 0.500, 0.000)
Cu (0.000, 0.000, 0.000)
Cu (0.500, 0.500, 0.500)

Entry 9:
# Zn2W

A geometry-optimized Zn2W structure (PBE-GGA, Alexandria).

Output
- Fermi-level density of states (states/eV per atom) = 0.979
- VASP energy (eV/atom) = -4.605
- crystal system = hexagonal
- E above lowest polymorph (meV per atom) = 415
- magnetization (μB/f.u.) = 0.000
- formation energy from the elements (eV per atom) = 0.56

Unit cell a=7.906 b=7.906 c=2.603 alpha=90.00 beta=90.00 gamma=120.00
Positions (direct):
Zn (0.299, 0.000, 0.000)
Zn (0.000, 0.299, 0.000)
Zn (0.701, 0.701, 0.000)
Zn (0.620, 0.000, 0.500)
Zn (0.000, 0.620, 0.500)
Zn (0.380, 0.380, 0.500)
W (0.333, 0.667, 0.000)
W (0.667, 0.333, 0.000)
W (0.000, 0.000, 0.500)

Entry 10:
# MgNbCu

A geometry-optimized MgNbCu structure (PBE-GGA, Alexandria).

Output
- Fermi-level density of states (states/eV per atom) = 0.942
- VASP energy (eV/atom) = -5.155
- crystal system = orthorhombic
- E above lowest polymorph (meV per atom) = 56
- magnetization (μB/f.u.) = 0.000
- formation energy from the elements (eV per atom) = 0.10

Unit cell a=4.079 b=2.892 c=11.884 alpha=90.00 beta=90.00 gamma=134.84
Positions (direct):
Cu (0.694, 0.389, 0.000)
Cu (0.194, 0.389, 0.500)
Nb (0.694, 0.389, 0.345)
Nb (0.694, 0.389, 0.655)
Mg (0.194, 0.389, 0.848)
Mg (0.194, 0.389, 0.152)

Entry 11:
# TmPuPt

A geometry-optimized TmPuPt structure (PBE-GGA, Alexandria).

Output
- Fermi-level density of states (states/eV per atom) = 2.814
- VASP energy (eV/atom) = -8.752
- crystal system = trigonal
- E above lowest polymorph (meV per atom) = 146
- magnetization (μB/f.u.) = 5.927
- formation energy from the elements (eV per atom) = -0.47

Unit cell a=3.751 b=4.694 c=4.694 alpha=120.00 beta=90.00 gamma=90.00
Positions (direct):
Tm (0.273, 0.333, 0.667)
Pt (0.010, 0.000, 0.000)
Pu (0.717, 0.667, 0.333)

Entry 12:
# ScSb2Mo

A geometry-optimized ScSb2Mo structure (PBE-GGA, Alexandria).

Output
- Fermi-level density of states (states/eV per atom) = 0.789
- VASP energy (eV/atom) = -6.381
- crystal system = orthorhombic
- E above lowest polymorph (meV per atom) = 182
- magnetization (μB/f.u.) = 0.000

Unit cell a=3.774 b=5.202 c=4.251 alpha=90.00 beta=90.00 gamma=90.00
Positions (direct):
Mo (0.000, 0.500, 0.500)
Sb (0.000, 0.000, 0.000)
Sb (0.500, 0.500, 0.000)
Sc (0.500, 0.000, 0.500)

Entry 13:
# KNd2Pb9

A geometry-optimized KNd2Pb9 structure (PBE-GGA, Alexandria).

Output
- Fermi-level density of states (states/eV per atom) = 0.310
- VASP energy (eV/atom) = -3.948
- crystal system = tetragonal
- magnetization (μB/f.u.) = 0.000
- formation energy from the elements (eV per atom) = -0.28

Unit cell a=4.940 b=4.940 c=15.029 alpha=90.00 beta=90.00 gamma=90.00
Positions (direct):
K (0.000, 0.000, 0.000)
Nd (0.000, 0.000, 0.339)
Nd (0.000, 0.000, 0.661)
Pb (0.500, 0.500, 0.000)
Pb (0.500, 0.500, 0.333)
Pb (0.500, 0.500, 0.667)
Pb (0.500, 0.000, 0.170)
Pb (0.500, 0.000, 0.500)
Pb (0.500, 0.000, 0.830)
Pb (0.000, 0.500, 0.170)
Pb (0.000, 0.500, 0.500)
Pb (0.000, 0.500, 0.830)